DFT (PBE-GGA) results for a relaxed structure of Te2AsSe.

Lattice parameters (Å, degrees): 3.6678 3.6678 7.1661 90.00 90.00 90.00
Closest atoms and distances in Å follow each position.
Space group P4/mmm (No. 123)
One atom of each set of equivalent atoms:
Te (0.0000, 0.0000, 0.2345) (multiplicity 2)  4 As 3.09, 4 Se 3.22, 1 Te 3.36
As (0.5000, 0.5000, 0.0000) (multiplicity 1)  8 Te 3.09
Se (0.5000, 0.5000, 0.5000) (multiplicity 1)  8 Te 3.22, 2 As 3.58

Calculated values
- calculated volume (Å³ per cell) = 96
- raw formation energy (kJ/mol of atoms) = 36.8
- relative energy among the computed polymorphs (kJ/mol of atoms) = 31.7
- theoretical density (g cm⁻³) = 7.0